The following is a DFT calculation (PBE) of a geometry-optimized MgReAs4 structure.

```
6
Lattice="0.000 3.837 3.837 3.837 0.000 3.837 3.837 3.837 0.000" Properties=species:S:1:pos:R:3 pbc="T T T"
As 2.872 4.802 4.802
Re 0.000 0.000 0.000
Mg 5.755 5.755 5.755
As 4.802 2.872 4.802
As 4.802 4.802 2.872
As 2.872 2.872 2.872
```

E_form = 0.839 eV per atom
space group = No. 216
calculated density = 7.50 g/cm3
magnetization = 0.178 μB/atom